No. 1
Density functional theory data (PBE) for a relaxed structure of Y3Ho2Er3.

Calculated formation energy, eV/atom: 0.101
ρ, Mg/m³: 7.2
Energy, eV per atom: -5.18

a = 8.4970 Å, b = 8.4970 Å, c = 5.9973 Å
α = 110.32°, β = 110.32°, γ = 39.03°
Element x y z (fractional)
Y  0.0000  0.0000  0.0000
Y  0.1321  0.1321  0.5749
Y  0.8679  0.8679  0.4251
Ho  0.2505  0.2505  0.1829
Ho  0.7495  0.7495  0.8171
Er  0.3687  0.3687  0.8130
Er  0.5000  0.5000  0.5000
Er  0.6313  0.6313  0.1870

No. 2
Density functional theory data (PBE) for a relaxed structure of TlCo2NiBr8.

ρ, Mg/m³: 4.5
Formation energy (no corrections), meV/atom: -349
Energy, eV per atom: -3.33

a = 6.5177 Å, b = 6.5177 Å, c = 9.5857 Å
α = 94.59°, β = 94.59°, γ = 69.02°
Element x y z (fractional)
Tl  0.0000  0.0000  0.0000
Co  0.3795  0.3795  0.7056
Co  0.6205  0.6205  0.2944
Ni  0.0000  0.0000  0.5000
Br  0.2293  0.7420  0.3032
Br  0.2361  0.2361  0.5034
Br  0.2580  0.7707  0.6968
Br  0.3028  0.3028  0.9238
Br  0.6972  0.6972  0.0762
Br  0.7420  0.2293  0.3032
Br  0.7639  0.7639  0.4966
Br  0.7707  0.2580  0.6968

No. 3
Density functional theory data (PBE) for a relaxed structure of CaHoCd6.

Calculated formation energy, eV/atom: -0.267
ρ, Mg/m³: 7.6
Energy, eV per atom: -1.78

a = 4.9848 Å, b = 6.5523 Å, c = 6.5523 Å
α = 64.53°, β = 90.00°, γ = 90.00°
Element x y z (fractional)
Ca  0.0000  0.0000  0.0000
Ho  0.5000  0.7131  0.7131
Cd  0.0000  0.0412  0.4892
Cd  0.0000  0.4892  0.0412
Cd  0.0000  0.5317  0.5317
Cd  0.5000  0.1878  0.1878
Cd  0.5000  0.2277  0.6670
Cd  0.5000  0.6670  0.2277

No. 4
Density functional theory data (PBE) for a relaxed structure of La8Co3CI3.

ρ, Mg/m³: 5.9
Formation energy (no corrections), meV/atom: -515
Energy, eV per atom: -5.49

a = 8.3488 Å, b = 8.3488 Å, c = 9.4755 Å
α = 116.19°, β = 116.19°, γ = 56.38°
Element x y z (fractional)
La  0.2246  0.2246  0.6702
La  0.2303  0.7433  0.6741
La  0.2567  0.7697  0.3259
La  0.2613  0.2613  0.3168
La  0.7387  0.7387  0.6832
La  0.7433  0.2303  0.6741
La  0.7697  0.2567  0.3259
La  0.7754  0.7754  0.3298
Co  0.0000  0.5000  0.5000
Co  0.5000  0.0000  0.5000
Co  0.5000  0.5000  0.5000
C  0.0000  0.0000  0.5000
I  0.0000  0.0000  0.0000
I  0.0000  0.5000  0.0000
I  0.5000  0.0000  0.0000

No. 5
Density functional theory data (PBE) for a relaxed structure of La6Hg2Os.

Calculated formation energy, eV/atom: -0.103
ρ, Mg/m³: 6.7
Energy, eV per atom: -4.70

a = 7.5314 Å, b = 7.5314 Å, c = 12.3649 Å
α = 90.00°, β = 90.00°, γ = 90.00°
Element x y z (fractional)
La  0.1926  0.1926  0.1625
La  0.1926  0.1926  0.8375
La  0.2434  0.2434  0.5000
La  0.2566  0.7434  0.0000
La  0.3074  0.6926  0.3375
La  0.3074  0.6926  0.6625
La  0.6926  0.3074  0.3375
La  0.6926  0.3074  0.6625
La  0.7434  0.2566  0.0000
La  0.7566  0.7566  0.5000
La  0.8074  0.8074  0.1625
La  0.8074  0.8074  0.8375
Hg  0.0000  0.0000  0.3608
Hg  0.0000  0.0000  0.6392
Hg  0.5000  0.5000  0.1392
Hg  0.5000  0.5000  0.8608
Os  0.0000  0.0000  0.0000
Os  0.5000  0.5000  0.5000

No. 6
Density functional theory data (PBE) for a relaxed structure of Th2CoAg.

Calculated formation energy, eV/atom: 0.188
ρ, Mg/m³: 9.0
Energy, eV per atom: -6.01

a = 9.5166 Å, b = 9.5166 Å, c = 9.5166 Å
α = 23.13°, β = 23.13°, γ = 23.13°
Element x y z (fractional)
Th  0.1106  0.1106  0.1106
Th  0.8894  0.8894  0.8894
Co  0.5000  0.5000  0.5000
Ag  0.0000  0.0000  0.0000

No. 7
Density functional theory data (PBE) for a relaxed structure of FeTcP2.

Calculated formation energy, eV/atom: 0.218
ρ, Mg/m³: 5.6
Energy, eV per atom: -7.19

a = 2.6960 Å, b = 2.6960 Å, c = 9.2231 Å
α = 90.00°, β = 90.00°, γ = 108.73°
Element x y z (fractional)
Fe  0.0000  0.0000  0.0000
Tc  0.5000  0.5000  0.7626
P  0.0000  0.0000  0.5719
P  0.5000  0.5000  0.1788

No. 8
Density functional theory data (PBE) for a relaxed structure of Li3NpSc2Te6.

ρ, Mg/m³: 5.7
Formation energy (no corrections), meV/atom: -1035
Energy, eV per atom: -5.22

a = 7.3572 Å, b = 7.3572 Å, c = 7.4002 Å
α = 99.60°, β = 99.60°, γ = 120.02°
Element x y z (fractional)
Li  0.0000  0.0000  0.0000
Li  0.3384  0.6616  0.0000
Li  0.6616  0.3384  0.0000
Np  0.5000  0.5000  0.5000
Sc  0.1671  0.8329  0.5000
Sc  0.8329  0.1671  0.5000
Te  0.0682  0.4167  0.2511
Te  0.2346  0.2346  0.7493
Te  0.4167  0.0682  0.2511
Te  0.5833  0.9318  0.7489
Te  0.7654  0.7654  0.2507
Te  0.9318  0.5833  0.7489